# MnIn4AgS8 | Alexandria | PBE | relaxed
# N(E_F): 6.1 states/eV per cell
# Energy relative to the elements, uncorrected: -499 meV per atom
# Energy: -4.498 eV per atom
# Total magnetic moment: 11.91 Bohr magnetons per cell
data_MnIn4AgS8
_space_group_name_H-M_alt 'R 3 m'
_space_group_IT_number 160
_space_group_name_Hall 'R 3 -2"'
_cell_length_a 7.6801
_cell_length_b 7.6801
_cell_length_c 18.6096
_cell_angle_alpha 90.00
_cell_angle_beta 90.00
_cell_angle_gamma 120.00
loop_
_atom_site_label
_atom_site_fract_x
_atom_site_fract_y
_atom_site_fract_z
Mn1 0.0000 0.0000 0.0000
In1 0.0000 0.0000 0.6169
In2 0.1733 0.3466 0.8257
Ag1 0.0000 0.0000 0.3735
S1 0.0000 0.0000 0.2372
S2 0.0000 0.0000 0.7533
S3 0.0321 0.5161 0.7403
S4 0.1836 0.3672 0.5790

---

# InCo2Pb | Alexandria | PBE | relaxed
# N(E_F): 13.0 states/eV per cell
# Energy: -4.661 eV per atom
# Total magnetic moment: 1.24 Bohr magnetons per cell
# ΔE_f: 0.50 eV per atom
data_InCo2Pb
_space_group_name_H-M_alt 'I -4 m 2'
_space_group_IT_number 119
_space_group_name_Hall 'I -4 -2'
_cell_length_a 3.7935
_cell_length_b 3.7935
_cell_length_c 9.4594
_cell_angle_alpha 90.00
_cell_angle_beta 90.00
_cell_angle_gamma 90.00
loop_
_atom_site_label
_atom_site_fract_x
_atom_site_fract_y
_atom_site_fract_z
In1 0.0000 0.0000 0.0000
Co1 0.0000 0.0000 0.5000
Co2 0.0000 0.5000 0.2500
Pb1 0.0000 0.5000 0.7500

---

> What is the formula in the second record?

InCo2Pb